[1]
The following is a DFT calculation (GGA-PBE) of LaTbCdAu after structural relaxation.

- Crystal system: tetragonal
- DFT formation energy: -0.57 eV/atom
- Offset from the most stable computed form: 0.0000 eV/atom
- ρ: 9.409 g/cm3
- DOS at the Fermi energy: 3.98 states/eV/cell

```
data_LaTbCdAu
_symmetry_space_group_name_H-M 'P 4 m m'
_symmetry_Int_Tables_number 99
_cell_length_a 3.738
_cell_length_b 3.738
_cell_length_c 7.669
_cell_angle_alpha 90.00
_cell_angle_beta 90.00
_cell_angle_gamma 90.00
loop_
_symmetry_equiv_pos_as_xyz
'x,y,z'
'-y,x,z'
'-x,-y,z'
'y,-x,z'
'-x,y,z'
'y,x,z'
'x,-y,z'
'-y,-x,z'
loop_
_atom_site_label
_atom_site_type_symbol
_atom_site_fract_x
_atom_site_fract_y
_atom_site_fract_z
La1 La 0.000 0.000 0.000
Tb1 Tb 0.000 0.000 0.530
Cd1 Cd 0.500 0.500 0.281
Au1 Au 0.500 0.500 0.731
```



[2]
The following is a DFT calculation (GGA-PBE) of Nd2HgC after structural relaxation.

- Crystal system: orthorhombic
- DFT formation energy: -0.06 eV/atom
- ρ: 7.905 g/cm3
- DOS at the Fermi energy: 11.20 states/eV/cell

```
data_Nd2HgC
_symmetry_space_group_name_H-M 'I m a 2'
_symmetry_Int_Tables_number 46
_cell_length_a 5.313
_cell_length_b 10.675
_cell_length_c 7.424
_cell_angle_alpha 90.00
_cell_angle_beta 90.00
_cell_angle_gamma 90.00
loop_
_symmetry_equiv_pos_as_xyz
'x,y,z'
'-x,-y,z'
'-x+1/2,y,z'
'x+1/2,-y,z'
'x+1/2,y+1/2,z+1/2'
'-x+1/2,-y+1/2,z+1/2'
'-x,y+1/2,z+1/2'
'x,-y+1/2,z+1/2'
loop_
_atom_site_label
_atom_site_type_symbol
_atom_site_fract_x
_atom_site_fract_y
_atom_site_fract_z
Nd1 Nd 0.250 0.103 0.000
Nd2 Nd 0.250 0.682 0.151
Hg1 Hg 0.250 0.088 0.436
C1 C 0.250 0.623 0.466
```



What is the DOS at the Fermi energy in the first record?
3.98 states/eV/cell



ρ of number 1 (LaTbCdAu)?
9.409 g/cm3



Among the records above, which one has the lowest DFT formation energy?
LaTbCdAu